Entry 1:
DFT (PBE) results for a relaxed structure of SbMo2Se6.

```
data_SbMo2Se6
_chemical_formula_sum 'Sb1 Mo2 Se6'
_space_group_name_H-M_alt 'P 1'
_space_group_IT_number 1
_space_group_name_Hall 'P 1'
_cell_length_a 7.463
_cell_length_b 7.463
_cell_length_c 3.757
_cell_angle_alpha 90.00
_cell_angle_beta 90.00
_cell_angle_gamma 120.00
loop_
_atom_site_label
_atom_site_type_symbol
_atom_site_fract_x
_atom_site_fract_y
_atom_site_fract_z
Se1 Se 0.405 0.405 0.500
Mo1 Mo 0.667 0.333 0.000
Se2 Se 0.293 0.000 0.000
Se3 Se 0.000 0.595 0.500
Sb1 Sb 0.000 0.000 0.500
Se4 Se 0.707 0.707 0.000
Se5 Se 0.000 0.293 0.000
Se6 Se 0.595 0.000 0.500
Mo2 Mo 0.333 0.667 0.000
```

Entry 2:
DFT (PBE) results for a relaxed structure of BaAgTeO.

```
data_BaAgTeO
_chemical_formula_sum 'Ba2 Ag2 Te2 O2'
_space_group_name_H-M_alt 'P 1'
_space_group_IT_number 1
_space_group_name_Hall 'P 1'
_cell_length_a 4.334
_cell_length_b 4.334
_cell_length_c 13.478
_cell_angle_alpha 90.00
_cell_angle_beta 90.00
_cell_angle_gamma 120.00
loop_
_atom_site_label
_atom_site_type_symbol
_atom_site_fract_x
_atom_site_fract_y
_atom_site_fract_z
Te1 Te 0.333 0.667 0.578
Ag1 Ag 0.000 0.000 0.492
Ba1 Ba 0.667 0.333 0.789
Ba2 Ba 0.333 0.667 0.289
Ag2 Ag 0.000 0.000 0.992
Te2 Te 0.667 0.333 0.078
O1 O 0.000 0.000 0.329
O2 O 0.000 0.000 0.829
```

Entry 3:
DFT (PBE) results for a relaxed structure of La5UN6.

```
data_La5UN6
_chemical_formula_sum 'La5 U1 N6'
_space_group_name_H-M_alt 'P 1'
_space_group_IT_number 1
_space_group_name_Hall 'P 1'
_cell_length_a 6.341
_cell_length_b 6.341
_cell_length_c 6.319
_cell_angle_alpha 99.57
_cell_angle_beta 99.57
_cell_angle_gamma 119.99
loop_
_atom_site_label
_atom_site_type_symbol
_atom_site_fract_x
_atom_site_fract_y
_atom_site_fract_z
La1 La 0.500 0.500 0.500
N1 N 0.219 0.219 0.769
La2 La 0.333 0.667 0.000
N2 N 0.637 0.926 0.779
N3 N 0.363 0.074 0.221
N4 N 0.074 0.363 0.221
U1 U 0.000 0.000 0.000
La3 La 0.835 0.165 0.500
N5 N 0.926 0.637 0.779
N6 N 0.781 0.781 0.231
La4 La 0.667 0.333 0.000
La5 La 0.165 0.835 0.500
```

Density readings, ordered: 7.21 5.89 8.14 g/cm³
Total DFT energy (no corrections) readings, ordered: -5.03 -4.40 -8.56 eV per atom